No. 1
# VPS2O | Alexandria | PBE+U | relaxed
# distance to the lowest polymorph of the same formula: 293.4 meV per atom
# symmetry: P4/mmm
# total magnetic moment: 0.0 Bohr magnetons per cell
# crystal system: tetragonal
data_VPS2O
_cell_length_a 4.377
_cell_length_b 4.377
_cell_length_c 4.706
_cell_angle_alpha 90.00
_cell_angle_beta 90.00
_cell_angle_gamma 90.00
_symmetry_space_group_name_H-M 'P 1'
_symmetry_Int_Tables_number 1
_symmetry_space_group_name_Hall 'P 1'
loop_
_atom_site_label
_atom_site_type_symbol
_atom_site_fract_x
_atom_site_fract_y
_atom_site_fract_z
P1 P 0.000 0.000 0.500
S1 S 0.000 0.500 0.000
S2 S 0.500 0.000 0.000
O1 O 0.500 0.500 0.500
V1 V 0.000 0.000 0.000

No. 2
# VP2SO | Alexandria | PBE+U | relaxed
# distance to the lowest polymorph of the same formula: 793.2 meV per atom
# symmetry: P4/mmm
# total magnetic moment: 0.0 Bohr magnetons per cell
# crystal system: tetragonal
data_VP2SO
_cell_length_a 4.524
_cell_length_b 4.524
_cell_length_c 4.331
_cell_angle_alpha 90.00
_cell_angle_beta 90.00
_cell_angle_gamma 90.00
_symmetry_space_group_name_H-M 'P 1'
_symmetry_Int_Tables_number 1
_symmetry_space_group_name_Hall 'P 1'
loop_
_atom_site_label
_atom_site_type_symbol
_atom_site_fract_x
_atom_site_fract_y
_atom_site_fract_z
P1 P 0.000 0.500 0.000
P2 P 0.500 0.000 0.000
S1 S 0.000 0.000 0.500
O1 O 0.500 0.500 0.500
V1 V 0.000 0.000 0.000

No. 3
# VP2SO | Alexandria | PBE+U | relaxed
# distance to the lowest polymorph of the same formula: 333.4 meV per atom
# symmetry: P4/mmm
# total magnetic moment: 2.3 Bohr magnetons per cell
# crystal system: tetragonal
data_VP2SO
_cell_length_a 3.999
_cell_length_b 3.999
_cell_length_c 4.547
_cell_angle_alpha 90.00
_cell_angle_beta 90.00
_cell_angle_gamma 90.00
_symmetry_space_group_name_H-M 'P 1'
_symmetry_Int_Tables_number 1
_symmetry_space_group_name_Hall 'P 1'
loop_
_atom_site_label
_atom_site_type_symbol
_atom_site_fract_x
_atom_site_fract_y
_atom_site_fract_z
P1 P 0.000 0.500 0.000
P2 P 0.500 0.000 0.000
S1 S 0.000 0.000 0.500
O1 O 0.000 0.000 0.000
V1 V 0.500 0.500 0.500

No. 4
# VP2SO | Alexandria | PBE+U | relaxed
# distance to the lowest polymorph of the same formula: 0.0 meV per atom
# symmetry: P4/mmm
# total magnetic moment: 0.0 Bohr magnetons per cell
# crystal system: tetragonal
data_VP2SO
_cell_length_a 4.713
_cell_length_b 4.713
_cell_length_c 3.602
_cell_angle_alpha 90.00
_cell_angle_beta 90.00
_cell_angle_gamma 90.00
_symmetry_space_group_name_H-M 'P 1'
_symmetry_Int_Tables_number 1
_symmetry_space_group_name_Hall 'P 1'
loop_
_atom_site_label
_atom_site_type_symbol
_atom_site_fract_x
_atom_site_fract_y
_atom_site_fract_z
P1 P 0.000 0.500 0.000
P2 P 0.500 0.000 0.000
S1 S 0.500 0.500 0.500
O1 O 0.000 0.000 0.500
V1 V 0.000 0.000 0.000

No. 5
# VP2SO | Alexandria | PBE+U | relaxed
# distance to the lowest polymorph of the same formula: 473.6 meV per atom
# symmetry: P4/mmm
# total magnetic moment: 0.8 Bohr magnetons per cell
# crystal system: tetragonal
data_VP2SO
_cell_length_a 4.646
_cell_length_b 4.646
_cell_length_c 3.367
_cell_angle_alpha 90.00
_cell_angle_beta 90.00
_cell_angle_gamma 90.00
_symmetry_space_group_name_H-M 'P 1'
_symmetry_Int_Tables_number 1
_symmetry_space_group_name_Hall 'P 1'
loop_
_atom_site_label
_atom_site_type_symbol
_atom_site_fract_x
_atom_site_fract_y
_atom_site_fract_z
P1 P 0.000 0.500 0.000
P2 P 0.500 0.000 0.000
S1 S 0.000 0.000 0.000
O1 O 0.000 0.000 0.500
V1 V 0.500 0.500 0.500

No. 6
# VPS2O | Alexandria | PBE+U | relaxed
# distance to the lowest polymorph of the same formula: 0.0 meV per atom
# symmetry: P4/mmm
# total magnetic moment: 1.6 Bohr magnetons per cell
# crystal system: tetragonal
data_VPS2O
_cell_length_a 4.386
_cell_length_b 4.386
_cell_length_c 3.929
_cell_angle_alpha 90.00
_cell_angle_beta 90.00
_cell_angle_gamma 90.00
_symmetry_space_group_name_H-M 'P 1'
_symmetry_Int_Tables_number 1
_symmetry_space_group_name_Hall 'P 1'
loop_
_atom_site_label
_atom_site_type_symbol
_atom_site_fract_x
_atom_site_fract_y
_atom_site_fract_z
P1 P 0.000 0.000 0.500
S1 S 0.000 0.500 0.000
S2 S 0.500 0.000 0.000
O1 O 0.000 0.000 0.000
V1 V 0.500 0.500 0.500

No. 7
# PWS2O | Alexandria | PBE+U | relaxed
# distance to the lowest polymorph of the same formula: 0.0 meV per atom
# symmetry: P4/mmm
# total magnetic moment: 2.0 Bohr magnetons per cell
# crystal system: tetragonal
data_PWS2O
_cell_length_a 4.353
_cell_length_b 4.353
_cell_length_c 3.963
_cell_angle_alpha 90.00
_cell_angle_beta 90.00
_cell_angle_gamma 90.00
_symmetry_space_group_name_H-M 'P 1'
_symmetry_Int_Tables_number 1
_symmetry_space_group_name_Hall 'P 1'
loop_
_atom_site_label
_atom_site_type_symbol
_atom_site_fract_x
_atom_site_fract_y
_atom_site_fract_z
P1 P 0.000 0.000 0.500
S1 S 0.000 0.500 0.000
S2 S 0.500 0.000 0.000
O1 O 0.000 0.000 0.000
W1 W 0.500 0.500 0.500

No. 8
# P2WSO | Alexandria | PBE+U | relaxed
# distance to the lowest polymorph of the same formula: 879.5 meV per atom
# symmetry: P4/mmm
# total magnetic moment: 0.0 Bohr magnetons per cell
# crystal system: tetragonal
data_P2WSO
_cell_length_a 4.744
_cell_length_b 4.744
_cell_length_c 4.533
_cell_angle_alpha 90.00
_cell_angle_beta 90.00
_cell_angle_gamma 90.00
_symmetry_space_group_name_H-M 'P 1'
_symmetry_Int_Tables_number 1
_symmetry_space_group_name_Hall 'P 1'
loop_
_atom_site_label
_atom_site_type_symbol
_atom_site_fract_x
_atom_site_fract_y
_atom_site_fract_z
P1 P 0.000 0.500 0.000
P2 P 0.500 0.000 0.000
S1 S 0.000 0.000 0.500
O1 O 0.500 0.500 0.500
W1 W 0.000 0.000 0.000

Which of these has the highest distance to the lowest polymorph of the same formula? P2WSO